#i
DFT (PBE-GGA) results for an optimized crystal structure of KZrAl.

Cell lengths 8.3475, 8.3475, 8.3475 Å; angles 157.85, 157.85, 31.52 degrees
Sites, in units of the cell vectors:
K  0.0000  0.0000  0.0000
Zr  0.7142  0.7142  0.0000
Al  0.3248  0.3248  0.0000

#ii
DFT (PBE-GGA) results for an optimized crystal structure of KZrAl.

Cell lengths 5.3435, 5.3435, 2.9151 Å; angles 90.00, 90.00, 120.00 degrees
Sites, in units of the cell vectors:
K  0.0000  0.0000  0.0000
Zr  0.6667  0.3333  0.0000
Al  0.3333  0.6667  0.5000

#iii
DFT (PBE-GGA) results for an optimized crystal structure of KZrAl.

Cell lengths 5.6589, 4.8809, 7.4329 Å; angles 90.00, 112.09, 90.00 degrees
Sites, in units of the cell vectors:
K  0.0000  0.0000  0.0000
K  0.4617  0.5000  0.0036
Zr  0.3868  0.0000  0.5340
Zr  0.6040  0.5000  0.5342
Al  0.0738  0.5000  0.4259
Al  0.8099  0.0000  0.4256

Most stable to least stable: #i, #iii, #ii

#i
DFT (PBE-GGA) results for an optimized crystal structure of KZrAl.

Cell lengths 4.7742, 4.7742, 11.8706 Å; angles 101.24, 101.24, 60.02 degrees
Sites, in units of the cell vectors:
K  0.2305  0.2305  0.1825
K  0.7695  0.7695  0.8175
Zr  0.3346  0.3346  0.5028
Zr  0.6654  0.6654  0.4972
Al  0.0360  0.0360  0.6104
Al  0.9640  0.9640  0.3896

#ii
DFT (PBE-GGA) results for an optimized crystal structure of KZrAl.

Cell lengths 4.9501, 4.9501, 4.9501 Å; angles 60.00, 60.00, 60.00 degrees
Sites, in units of the cell vectors:
K  0.0000  0.0000  0.0000
Zr  0.2500  0.2500  0.2500
Al  0.7500  0.7500  0.7500

#iii
DFT (PBE-GGA) results for an optimized crystal structure of KZrAl.

Cell lengths 5.1048, 5.1048, 5.1048 Å; angles 60.00, 60.00, 60.00 degrees
Sites, in units of the cell vectors:
K  0.0000  0.0000  0.0000
Zr  0.5000  0.5000  0.5000
Al  0.2500  0.2500  0.2500

#iv
DFT (PBE-GGA) results for an optimized crystal structure of KZrAl.

Cell lengths 8.8250, 4.7265, 8.5719 Å; angles 90.00, 90.00, 90.00 degrees
Sites, in units of the cell vectors:
K  0.0030  0.2500  0.1385
K  0.4970  0.7500  0.6385
K  0.5030  0.2500  0.3615
K  0.9970  0.7500  0.8615
Zr  0.1056  0.2500  0.5528
Zr  0.3944  0.7500  0.0528
Zr  0.6056  0.2500  0.9472
Zr  0.8944  0.7500  0.4472
Al  0.1928  0.7500  0.3517
Al  0.3072  0.2500  0.8517
Al  0.6928  0.7500  0.1483
Al  0.8072  0.2500  0.6483

Most stable to least stable: #i, #iv, #iii, #ii

#i
DFT (PBE-GGA) results for an optimized crystal structure of KZrAl3.

Cell lengths 5.4094, 5.4094, 5.4094 Å; angles 90.00, 90.00, 90.00 degrees
Sites, in units of the cell vectors:
K  0.0000  0.0000  0.0000
Zr  0.5000  0.5000  0.5000
Al  0.0000  0.5000  0.5000
Al  0.5000  0.0000  0.5000
Al  0.5000  0.5000  0.0000

#ii
DFT (PBE-GGA) results for an optimized crystal structure of KZrAl3.

Cell lengths 5.0253, 5.0253, 5.0253 Å; angles 90.00, 90.00, 90.00 degrees
Sites, in units of the cell vectors:
K  0.0000  0.0000  0.0000
Zr  0.5000  0.5000  0.5000
Al  0.0000  0.0000  0.5000
Al  0.0000  0.5000  0.0000
Al  0.5000  0.0000  0.0000

Most stable to least stable: #i, #ii

#i
DFT (PBE-GGA) results for an optimized crystal structure of La5Al.

Cell lengths 6.2538, 6.2538, 5.7502 Å; angles 90.00, 90.00, 120.00 degrees
Sites, in units of the cell vectors:
La  0.0000  0.6969  0.0000
La  0.3031  0.3031  0.0000
La  0.3333  0.6667  0.5000
La  0.6667  0.3333  0.5000
La  0.6969  0.0000  0.0000
Al  0.0000  0.0000  0.5000

#ii
DFT (PBE-GGA) results for an optimized crystal structure of La5Al.

Cell lengths 6.3782, 6.3782, 5.9759 Å; angles 90.00, 90.00, 120.00 degrees
Sites, in units of the cell vectors:
La  0.0000  0.5000  0.0000
La  0.3333  0.6667  0.5000
La  0.5000  0.0000  0.0000
La  0.5000  0.5000  0.0000
La  0.6667  0.3333  0.5000
Al  0.0000  0.0000  0.5000

Most stable to least stable: #i, #ii

#i
DFT (PBE-GGA) results for an optimized crystal structure of La5Al.

Cell lengths 6.5649, 6.5649, 9.0316 Å; angles 111.20, 111.20, 34.43 degrees
Sites, in units of the cell vectors:
La  0.0000  0.0000  0.0000
La  0.0166  0.0166  0.4337
La  0.3043  0.3043  0.1501
La  0.3258  0.3258  0.5926
La  0.6594  0.6594  0.7914
Al  0.6640  0.6640  0.2970

#ii
DFT (PBE-GGA) results for an optimized crystal structure of La5Al.

Cell lengths 8.2709, 8.2709, 4.9675 Å; angles 90.00, 90.00, 144.78 degrees
Sites, in units of the cell vectors:
La  0.0000  0.0000  0.0000
La  0.1645  0.8355  0.5000
La  0.3468  0.6532  0.0000
La  0.6532  0.3468  0.0000
La  0.8355  0.1645  0.5000
Al  0.5000  0.5000  0.5000

Most stable to least stable: #i, #ii

#i
DFT (PBE-GGA) results for an optimized crystal structure of La5Al3.

Cell lengths 9.3652, 9.3652, 6.5594 Å; angles 90.00, 90.00, 120.00 degrees
Sites, in units of the cell vectors:
La  0.0000  0.2429  0.2500
La  0.0000  0.7571  0.7500
La  0.2429  0.0000  0.2500
La  0.2429  0.2429  0.7500
La  0.3333  0.6667  0.0000
La  0.3333  0.6667  0.5000
La  0.6667  0.3333  0.0000
La  0.6667  0.3333  0.5000
La  0.7571  0.0000  0.7500
La  0.7571  0.7571  0.2500
Al  0.0000  0.3975  0.7500
Al  0.0000  0.6025  0.2500
Al  0.3975  0.0000  0.7500
Al  0.3975  0.3975  0.2500
Al  0.6025  0.0000  0.2500
Al  0.6025  0.6025  0.7500

#ii
DFT (PBE-GGA) results for an optimized crystal structure of La5Al3.

Cell lengths 8.1523, 8.1523, 14.9138 Å; angles 90.00, 90.00, 90.00 degrees
Sites, in units of the cell vectors:
La  0.0663  0.5852  0.1014
La  0.0663  0.9148  0.6014
La  0.0852  0.5663  0.3986
La  0.0852  0.9337  0.8986
La  0.2500  0.2500  0.2209
La  0.2500  0.2500  0.7209
La  0.4148  0.5663  0.8986
La  0.4148  0.9337  0.3986
La  0.4337  0.5852  0.6014
La  0.4337  0.9148  0.1014
La  0.5663  0.0852  0.8986
La  0.5663  0.4148  0.3986
La  0.5852  0.0663  0.6014
La  0.5852  0.4337  0.1014
La  0.7500  0.7500  0.2791
La  0.7500  0.7500  0.7791
La  0.9148  0.0663  0.1014
La  0.9148  0.4337  0.6014
La  0.9337  0.0852  0.3986
La  0.9337  0.4148  0.8986
Al  0.1344  0.6344  0.7500
Al  0.1344  0.8656  0.2500
Al  0.2500  0.2500  0.0040
Al  0.2500  0.2500  0.5040
Al  0.3656  0.6344  0.2500
Al  0.3656  0.8656  0.7500
Al  0.6344  0.1344  0.2500
Al  0.6344  0.3656  0.7500
Al  0.7500  0.7500  0.4960
Al  0.7500  0.7500  0.9960
Al  0.8656  0.1344  0.7500
Al  0.8656  0.3656  0.2500

Most stable to least stable: #ii, #i

#i
DFT (PBE-GGA) results for an optimized crystal structure of La3Al5.

Cell lengths 8.5624, 8.5624, 8.1778 Å; angles 94.78, 94.78, 136.56 degrees
Sites, in units of the cell vectors:
La  0.1612  0.8388  0.0000
La  0.1702  0.1702  0.6690
La  0.2268  0.7732  0.5000
La  0.7732  0.2268  0.5000
La  0.8298  0.8298  0.3310
La  0.8388  0.1612  0.0000
Al  0.2328  0.4075  0.3603
Al  0.2806  0.5930  0.8334
Al  0.3322  0.3322  0.0744
Al  0.4070  0.7194  0.1666
Al  0.4075  0.2328  0.3603
Al  0.5925  0.7672  0.6397
Al  0.5930  0.2806  0.8334
Al  0.6678  0.6678  0.9256
Al  0.7194  0.4070  0.1666
Al  0.7672  0.5925  0.6397

#ii
DFT (PBE-GGA) results for an optimized crystal structure of La3Al5.

Cell lengths 6.4977, 6.4977, 4.6571 Å; angles 90.00, 90.00, 91.45 degrees
Sites, in units of the cell vectors:
La  0.0000  0.0000  0.0000
La  0.2638  0.7362  0.5000
La  0.7362  0.2638  0.5000
Al  0.0000  0.5000  0.0000
Al  0.2513  0.2513  0.5000
Al  0.5000  0.0000  0.0000
Al  0.5000  0.5000  0.0000
Al  0.7487  0.7487  0.5000

Most stable to least stable: #i, #ii

#i
DFT (PBE-GGA) results for an optimized crystal structure of La5Al4.

Cell lengths 9.4873, 9.4873, 6.6988 Å; angles 90.00, 90.00, 120.00 degrees
Sites, in units of the cell vectors:
La  0.0000  0.2932  0.2500
La  0.0000  0.7068  0.7500
La  0.2932  0.0000  0.2500
La  0.2932  0.2932  0.7500
La  0.3333  0.6667  0.0000
La  0.3333  0.6667  0.5000
La  0.6667  0.3333  0.0000
La  0.6667  0.3333  0.5000
La  0.7068  0.0000  0.7500
La  0.7068  0.7068  0.2500
Al  0.0000  0.0000  0.0000
Al  0.0000  0.0000  0.5000
Al  0.0000  0.3609  0.7500
Al  0.0000  0.6391  0.2500
Al  0.3609  0.0000  0.7500
Al  0.3609  0.3609  0.2500
Al  0.6391  0.0000  0.2500
Al  0.6391  0.6391  0.7500

#ii
DFT (PBE-GGA) results for an optimized crystal structure of La5Al4.

Cell lengths 5.9874, 5.9874, 10.2074 Å; angles 113.50, 113.50, 50.63 degrees
Sites, in units of the cell vectors:
La  0.0000  0.0000  0.0000
La  0.3065  0.3065  0.4221
La  0.4030  0.4030  0.1624
La  0.5970  0.5970  0.8376
La  0.6935  0.6935  0.5779
Al  0.0155  0.0155  0.6351
Al  0.2842  0.2842  0.8087
Al  0.7158  0.7158  0.1913
Al  0.9845  0.9845  0.3649

Most stable to least stable: #ii, #i